[1]
PBE TbPmCo2, optimized geometry; space group = P4/mmm; crystal system = tetragonal; total DFT energy (no corrections) = -5.94 eV per atom; spin magnetization = 0.81 μB/cell; V = 19.64 A^3/atom
1.0
4.8015 0.0000 0.0000
0.0000 4.8015 0.0000
0.0000 0.0000 3.4074
Tb Pm Co
1 1 2
Cartesian
0.0000 0.0000 0.0000
2.4007 2.4007 0.0000
0.0000 2.4007 1.7037
2.4007 0.0000 1.7037



[2]
PBE TbPmCo10, optimized geometry; space group = Pmmm; crystal system = orthorhombic; total DFT energy (no corrections) = -6.78 eV per atom; spin magnetization = 14.20 μB/cell; V = 14.01 A^3/atom
1.0
3.9437 0.0000 0.0000
0.0000 4.9565 0.0000
0.0000 0.0000 8.6025
Tb Pm Co
1 1 10
Cartesian
0.0000 0.0000 0.0000
0.0000 2.4783 4.3013
0.0000 0.0000 2.8262
0.0000 0.0000 5.7764
0.0000 2.4783 1.4079
0.0000 2.4783 7.1947
1.9719 0.0000 4.3013
1.9719 1.2303 2.1281
1.9719 1.2303 6.4744
1.9719 2.4783 0.0000
1.9719 3.7262 2.1281
1.9719 3.7262 6.4744



[3]
PBE TbPm3Co, optimized geometry; space group = Ima2; crystal system = orthorhombic; total DFT energy (no corrections) = -5.27 eV per atom; spin magnetization = 0.00 μB/cell; V = 29.80 A^3/atom
1.0
-4.2605 4.1704 4.1924
4.2605 -4.1704 4.1924
4.2605 4.1704 -4.1924
Tb Pm Co
2 6 2
Cartesian
2.1302 0.3791 0.0000
2.1302 3.7913 4.1924
2.1302 3.8131 -0.7625
2.1302 0.3573 3.4299
-0.3940 2.4310 1.7302
4.6545 2.4310 1.7302
0.3940 5.9098 1.7302
-0.3940 1.7394 5.9226
2.1302 3.0550 1.7224
2.1302 1.1153 5.9148



[4]
PBE Tb2PmCo, optimized geometry; space group = P4/mmm; crystal system = tetragonal; total DFT energy (no corrections) = -5.33 eV per atom; spin magnetization = 0.74 μB/cell; V = 26.31 A^3/atom
1.0
3.4226 0.0000 0.0000
0.0000 3.4226 0.0000
0.0000 0.0000 8.9842
Tb Pm Co
2 1 1
Cartesian
0.0000 0.0000 1.6175
0.0000 0.0000 7.3667
1.7113 1.7113 4.4921
1.7113 1.7113 0.0000



[5]
PBE TbPm2Co, optimized geometry; space group = Pnma; crystal system = orthorhombic; total DFT energy (no corrections) = -5.41 eV per atom; spin magnetization = 0.00 μB/cell; V = 27.13 A^3/atom
1.0
7.0480 0.0000 0.0000
0.0000 9.8067 0.0000
0.0000 0.0000 6.2799
Tb Pm Co
4 8 4
Cartesian
0.3068 2.4517 0.9556
3.2172 7.3550 4.0955
3.8309 2.4517 2.1844
6.7412 7.3550 5.3243
1.2297 0.6851 4.2441
1.2297 4.2183 4.2441
2.2943 5.5885 1.1042
2.2943 9.1216 1.1042
4.7537 0.6851 5.1757
4.7537 4.2183 5.1757
5.8183 5.5885 2.0358
5.8183 9.1216 2.0358
0.8199 7.3550 2.8169
2.7041 2.4517 5.9568
4.3439 7.3550 0.3230
6.2281 2.4517 3.4630



[6]
PBE TbPm4Co4, optimized geometry; space group = P4_2/n; crystal system = tetragonal; total DFT energy (no corrections) = -5.78 eV per atom; spin magnetization = 0.00 μB/cell; V = 23.14 A^3/atom
1.0
8.5088 0.0000 0.0000
0.0000 8.5088 0.0000
0.0000 0.0000 5.7520
Tb Pm Co
2 8 8
Cartesian
2.1272 2.1272 1.4380
6.3816 6.3816 4.3140
0.4766 5.7578 0.7470
1.5034 8.0322 3.6230
2.7510 4.7310 3.6230
3.7778 7.0054 0.7470
4.7310 1.5034 5.0050
5.7578 3.7778 2.1290
7.0054 0.4766 2.1290
8.0322 2.7510 5.0050
0.0926 5.2174 3.4901
0.9630 8.4162 0.6141
3.2914 4.3470 0.6141
4.1618 7.5458 3.4901
4.3470 0.9630 2.2619
5.2174 4.1618 5.1379
7.5458 0.0926 5.1379
8.4162 3.2914 2.2619



[7]
PBE TbPm4Co2, optimized geometry; space group = P2_1/m; crystal system = monoclinic; total DFT energy (no corrections) = -5.38 eV per atom; spin magnetization = 0.00 μB/cell; V = 26.26 A^3/atom
1.0
7.8008 0.0000 0.0000
0.0000 6.5632 0.0000
-3.0956 0.0000 7.1803
Tb Pm Co
2 8 4
Cartesian
1.1501 1.6408 0.2152
3.5551 4.9224 6.9651
-1.0093 1.6408 2.6743
0.9177 4.9224 2.3538
0.8594 0.0248 5.4582
0.8594 3.2569 5.4582
3.8458 3.3064 1.7221
3.8458 6.5385 1.7221
3.7875 1.6408 4.8266
5.7145 4.9224 4.5060
-1.0848 4.9224 7.1213
1.6268 1.6408 2.8743
3.0784 4.9224 4.3060
5.7899 1.6408 0.0590



[8]
PBE TbPm3Co8, optimized geometry; space group = R3m; crystal system = trigonal; total DFT energy (no corrections) = -6.40 eV per atom; spin magnetization = 7.49 μB/cell; V = 15.95 A^3/atom
1.0
2.5667 1.4819 8.3855
-2.5667 1.4819 8.3855
0.0000 -2.9637 8.3855
Tb Pm Co
1 3 8
Cartesian
0.0000 0.0000 0.0000
0.0000 0.0000 3.1407
0.0000 0.0000 12.5706
0.0000 0.0000 15.7185
-1.2890 -0.7442 9.9312
0.0000 -1.4923 5.7836
-1.2924 0.7462 5.7836
0.0000 0.0000 7.8657
1.2890 -0.7442 9.9312
0.0000 1.4884 9.9312
1.2924 0.7462 5.7836
0.0000 0.0000 20.4338



[9]
PBE TbPm2Co, optimized geometry; space group = P4/mmm; crystal system = tetragonal; total DFT energy (no corrections) = -5.26 eV per atom; spin magnetization = 1.34 μB/cell; V = 27.32 A^3/atom
1.0
3.5001 0.0000 0.0000
0.0000 3.5001 0.0000
0.0000 0.0000 8.9186
Tb Pm Co
1 2 1
Cartesian
0.0000 0.0000 0.0000
1.7501 1.7501 2.7874
1.7501 1.7501 6.1312
0.0000 0.0000 4.4593



[10]
PBE TbPm3Co2, optimized geometry; space group = C2/m; crystal system = monoclinic; total DFT energy (no corrections) = -5.61 eV per atom; spin magnetization = 0.00 μB/cell; V = 26.02 A^3/atom
1.0
8.4338 -1.8937 0.0000
8.4338 1.8937 0.0000
-6.7782 0.0000 9.7740
Tb Pm Co
2 6 4
Cartesian
1.0092 0.0000 2.4728
9.0802 0.0000 7.3012
-2.3873 0.0000 7.3274
3.2217 0.0000 5.4762
6.6615 0.0000 0.5298
3.4278 0.0000 9.2442
6.8676 0.0000 4.2978
12.4766 0.0000 2.4467
0.2294 0.0000 5.3377
3.6291 0.0000 0.4736
6.4602 0.0000 9.3004
9.8600 0.0000 4.4363



[11]
PBE TbPmTlCo, optimized geometry; space group = F-43m; crystal system = cubic; total DFT energy (no corrections) = -4.80 eV per atom; spin magnetization = 1.24 μB/cell; V = 24.71 A^3/atom
1.0
0.0000 3.6698 3.6698
3.6698 0.0000 3.6698
3.6698 3.6698 0.0000
Tb Pm Tl Co
1 1 1 1
Cartesian
0.0000 0.0000 0.0000
3.6698 3.6698 3.6698
1.8349 1.8349 1.8349
5.5047 5.5047 5.5047



[12]
PBE Pm2Co2Tc, optimized geometry; space group = C2/c; crystal system = monoclinic; total DFT energy (no corrections) = -6.86 eV per atom; spin magnetization = 0.00 μB/cell; V = 19.53 A^3/atom
1.0
4.7079 -2.8007 0.0000
4.7079 2.8007 0.0000
-1.5435 0.0000 7.4065
Pm Co Tc
4 4 2
Cartesian
1.1902 0.6449 1.1372
0.4185 -0.6449 4.8404
7.4539 0.6449 2.5661
6.6821 -0.6449 6.2693
2.7895 0.6728 3.6838
2.0178 -0.6728 7.3870
5.8546 0.6728 0.0195
5.0828 -0.6728 3.7228
4.3220 0.6413 1.8516
3.5503 -0.6413 5.5549